Entry 1:
# KHoPbS3 (PBE-GGA, relaxed)
# Energy (eV per atom): -4.973
# ρ (g/cm³): 5.05
data_KHoPbS3
_space_group_name_H-M_alt 'C 1 2/m 1'
_space_group_IT_number 12
_space_group_name_Hall '-C 2y'
_cell_length_a 17.630
_cell_length_b 4.071
_cell_length_c 9.566
_cell_angle_alpha 90.00
_cell_angle_beta 103.65
_cell_angle_gamma 90.00
loop_
_atom_site_label
_atom_site_type_symbol
_atom_site_fract_x
_atom_site_fract_y
_atom_site_fract_z
K1 K 0.147 0.000 0.073
Ho1 Ho 0.173 0.000 0.580
Pb1 Pb 0.007 0.500 0.721
S1 S 0.000 0.000 0.500
S2 S 0.000 0.500 0.000
S3 S 0.170 0.500 0.771
S4 S 0.172 0.500 0.383



Entry 2:
# Li4GaReO6 (PBE-GGA, relaxed)
# Energy (eV per atom): -6.237
# ρ (g/cm³): 5.83
data_Li4GaReO6
_space_group_name_H-M_alt 'C 1 2 1'
_space_group_IT_number 5
_space_group_name_Hall 'C 2y'
_cell_length_a 5.120
_cell_length_b 8.847
_cell_length_c 5.077
_cell_angle_alpha 90.00
_cell_angle_beta 109.88
_cell_angle_gamma 90.00
loop_
_atom_site_label
_atom_site_type_symbol
_atom_site_fract_x
_atom_site_fract_y
_atom_site_fract_z
Li1 Li 0.000 0.000 0.000
Li2 Li 0.000 0.158 0.500
Li3 Li 0.000 0.505 0.500
Li4 Li 0.000 0.839 0.500
Ga1 Ga 0.000 0.667 0.000
Re1 Re 0.000 0.333 0.000
O1 O 0.228 0.499 0.235
O2 O 0.244 0.326 0.769
O3 O 0.248 0.676 0.767



Entry 3:
# DyHo2Lu (PBE-GGA, relaxed)
# ΔE_f (kcal/mol of atoms): 0.07
# ρ (g/cm³): 9.02
data_DyHo2Lu
_space_group_name_H-M_alt 'A m a 2'
_space_group_IT_number 40
_space_group_name_Hall 'A 2 -2a'
_cell_length_a 5.564
_cell_length_b 12.366
_cell_length_c 7.139
_cell_angle_alpha 90.00
_cell_angle_beta 90.00
_cell_angle_gamma 90.00
loop_
_atom_site_label
_atom_site_type_symbol
_atom_site_fract_x
_atom_site_fract_y
_atom_site_fract_z
Dy1 Dy 0.250 0.167 0.000
Ho1 Ho 0.250 0.166 0.500
Ho2 Ho 0.250 0.417 0.750
Lu1 Lu 0.250 0.417 0.249



Entry 4:
# HfOF2 (PBE-GGA, relaxed)
# Energy (eV per atom): -8.217
# ρ (g/cm³): 7.86
data_HfOF2
_space_group_name_H-M_alt 'P c a 21'
_space_group_IT_number 29
_space_group_name_Hall 'P 2c -2ac'
_cell_length_a 5.126
_cell_length_b 7.202
_cell_length_c 5.322
_cell_angle_alpha 90.00
_cell_angle_beta 90.00
_cell_angle_gamma 90.00
loop_
_atom_site_label
_atom_site_type_symbol
_atom_site_fract_x
_atom_site_fract_y
_atom_site_fract_z
Hf1 Hf 0.018 0.178 0.000
O1 O 0.152 0.067 0.328
F1 F 0.192 0.730 0.185
F2 F 0.198 0.407 0.986



Entry 5:
# ZnCdBAu (PBE-GGA, relaxed)
# Energy (eV per atom): -2.279
# ρ (g/cm³): 10.18
data_ZnCdBAu
_space_group_name_H-M_alt 'F -4 3 m'
_space_group_IT_number 216
_space_group_name_Hall 'F -4 2 3'
_cell_length_a 6.313
_cell_length_b 6.313
_cell_length_c 6.313
_cell_angle_alpha 90.00
_cell_angle_beta 90.00
_cell_angle_gamma 90.00
loop_
_atom_site_label
_atom_site_type_symbol
_atom_site_fract_x
_atom_site_fract_y
_atom_site_fract_z
Zn1 Zn 0.000 0.000 0.000
Cd1 Cd 0.250 0.250 0.250
B1 B 0.000 0.000 0.500
Au1 Au 0.250 0.250 0.750



Entry 6:
# Th2Zn15Pd2 (PBE-GGA, relaxed)
# ΔE_f (kcal/mol of atoms): -7.61
# ρ (g/cm³): 8.84
data_Th2Zn15Pd2
_space_group_name_H-M_alt 'R -3 m'
_space_group_IT_number 166
_space_group_name_Hall '-R 3 2"'
_cell_length_a 9.0407
_cell_length_b 9.0407
_cell_length_c 13.1933
_cell_angle_alpha 90.00
_cell_angle_beta 90.00
_cell_angle_gamma 120.00
loop_
_atom_site_label
_atom_site_type_symbol
_atom_site_fract_x
_atom_site_fract_y
_atom_site_fract_z
Th1 Th 0.0000 0.0000 0.1609
Zn1 Zn 0.0000 0.2848 0.5000
Zn2 Zn 0.0000 0.5000 0.0000
Zn3 Zn 0.0058 0.5029 0.6527
Pd1 Pd 0.0000 0.0000 0.3879



Entry 7:
# RbLiPd (PBE-GGA, relaxed)
# Energy (eV per atom): -2.486
# ρ (g/cm³): 3.51
data_RbLiPd
_space_group_name_H-M_alt 'F -4 3 m'
_space_group_IT_number 216
_space_group_name_Hall 'F -4 2 3'
_cell_length_a 7.222
_cell_length_b 7.222
_cell_length_c 7.222
_cell_angle_alpha 90.00
_cell_angle_beta 90.00
_cell_angle_gamma 90.00
loop_
_atom_site_label
_atom_site_type_symbol
_atom_site_fract_x
_atom_site_fract_y
_atom_site_fract_z
Rb1 Rb 0.000 0.000 0.000
Li1 Li 0.000 0.000 0.500
Pd1 Pd 0.250 0.250 0.750



Entry 8:
# Al2Co11 (PBE-GGA, relaxed)
# Energy (eV per atom): -6.618
# ρ (g/cm³): 7.83
data_Al2Co11
_space_group_name_H-M_alt 'R -3 m'
_space_group_IT_number 166
_space_group_name_Hall '-R 3 2"'
_cell_length_a 4.6001
_cell_length_b 4.6001
_cell_length_c 24.3693
_cell_angle_alpha 90.00
_cell_angle_beta 90.00
_cell_angle_gamma 120.00
loop_
_atom_site_label
_atom_site_type_symbol
_atom_site_fract_x
_atom_site_fract_y
_atom_site_fract_z
Al1 Al 0.0000 0.0000 0.1487
Co1 Co 0.0000 0.0000 0.0456
Co2 Co 0.0000 0.0000 0.3363
Co3 Co 0.0000 0.0000 0.5000
Co4 Co 0.0046 0.5023 0.9136



Entry 9:
# ErZrTl (PBE-GGA, relaxed)
# Energy (eV per atom): -4.918
# ρ (g/cm³): 8.87
data_ErZrTl
_space_group_name_H-M_alt 'F -4 3 m'
_space_group_IT_number 216
_space_group_name_Hall 'F -4 2 3'
_cell_length_a 7.024
_cell_length_b 7.024
_cell_length_c 7.024
_cell_angle_alpha 90.00
_cell_angle_beta 90.00
_cell_angle_gamma 90.00
loop_
_atom_site_label
_atom_site_type_symbol
_atom_site_fract_x
_atom_site_fract_y
_atom_site_fract_z
Er1 Er 0.000 0.000 0.000
Zr1 Zr 0.000 0.000 0.500
Tl1 Tl 0.250 0.250 0.250



Entry 10:
# YLuNO (PBE-GGA, relaxed)
# Energy (eV per atom): -8.388
# ρ (g/cm³): 9.01
data_YLuNO
_space_group_name_H-M_alt 'P 4/m m m'
_space_group_IT_number 123
_space_group_name_Hall '-P 4 2'
_cell_length_a 3.384
_cell_length_b 3.384
_cell_length_c 4.732
_cell_angle_alpha 90.00
_cell_angle_beta 90.00
_cell_angle_gamma 90.00
loop_
_atom_site_label
_atom_site_type_symbol
_atom_site_fract_x
_atom_site_fract_y
_atom_site_fract_z
Y1 Y 0.000 0.000 0.000
Lu1 Lu 0.500 0.500 0.500
N1 N 0.500 0.500 0.000
O1 O 0.000 0.000 0.500



Entry 11:
# CoNi2Sn (PBE-GGA, relaxed)
# Energy (eV per atom): -5.589
# ρ (g/cm³): 9.58
data_CoNi2Sn
_space_group_name_H-M_alt 'F -4 3 m'
_space_group_IT_number 216
_space_group_name_Hall 'F -4 2 3'
_cell_length_a 5.893
_cell_length_b 5.893
_cell_length_c 5.893
_cell_angle_alpha 90.00
_cell_angle_beta 90.00
_cell_angle_gamma 90.00
loop_
_atom_site_label
_atom_site_type_symbol
_atom_site_fract_x
_atom_site_fract_y
_atom_site_fract_z
Co1 Co 0.000 0.000 0.000
Ni1 Ni 0.000 0.000 0.500
Ni2 Ni 0.250 0.250 0.250
Sn1 Sn 0.250 0.250 0.750



Entry 12:
# LiScAsIr (PBE-GGA, relaxed)
# Energy (eV per atom): -6.029
# ρ (g/cm³): 8.83
data_LiScAsIr
_space_group_name_H-M_alt 'F -4 3 m'
_space_group_IT_number 216
_space_group_name_Hall 'F -4 2 3'
_cell_length_a 6.214
_cell_length_b 6.214
_cell_length_c 6.214
_cell_angle_alpha 90.00
_cell_angle_beta 90.00
_cell_angle_gamma 90.00
loop_
_atom_site_label
_atom_site_type_symbol
_atom_site_fract_x
_atom_site_fract_y
_atom_site_fract_z
Li1 Li 0.000 0.000 0.000
Sc1 Sc 0.250 0.250 0.250
As1 As 0.000 0.000 0.500
Ir1 Ir 0.250 0.250 0.750